Here is a geometry-optimized K2NaNpBr8 structure from the Alexandria database. Energies are from GGA-PBE.

Values from the calculation:
Magnetic moment   1.9 Bohr magnetons per cell
VASP energy   -3.818 eV per atom

Geometry as POSCAR:
```
K2NaNpBr8
1.0
6.9276 0.0000 0.0000
0.5724 7.4406 0.0000
0.0180 0.0306 9.7269
K Na Np Br
2 1 1 8
Direct
0.0036 0.9996 0.2328
0.9964 0.0004 0.7672
0.5000 0.5000 0.0000
0.5000 0.5000 0.5000
0.2477 0.7996 0.9982
0.2739 0.3754 0.3022
0.2761 0.3724 0.6989
0.2786 0.8177 0.5014
0.7214 0.1823 0.4986
0.7239 0.6276 0.3011
0.7261 0.6246 0.6978
0.7523 0.2004 0.0018
```


Here is a geometry-optimized KNaNpBr5 structure from the Alexandria database. Energies are from GGA-PBE.

Values from the calculation:
Magnetic moment   8.0 Bohr magnetons per cell
VASP energy   -4.434 eV per atom

Geometry as POSCAR:
```
KNaNpBr5
1.0
4.6585 -6.8086 0.0000
4.6585 6.8086 0.0000
-3.9071 0.0000 9.9455
K Na Np Br
2 2 2 10
Direct
0.1407 0.8593 0.7500
0.8593 0.1407 0.2500
0.1865 0.8135 0.2500
0.8135 0.1865 0.7500
0.5000 0.5000 0.0000
0.5000 0.5000 0.5000
0.1292 0.2412 0.9527
0.1839 0.5591 0.3892
0.2412 0.1292 0.4527
0.4095 0.5905 0.7500
0.4409 0.8161 0.1108
0.5591 0.1839 0.8892
0.5905 0.4095 0.2500
0.7588 0.8708 0.5473
0.8161 0.4409 0.6108
0.8708 0.7588 0.0473
```


Here is a geometry-optimized K2NaBr2O6 structure from the Alexandria database. Energies are from GGA-PBE.

Values from the calculation:
Magnetic moment   0.0 Bohr magnetons per cell
VASP energy   -3.934 eV per atom

Geometry as POSCAR:
```
K2NaBr2O6
1.0
2.9935 1.7283 6.5398
-2.9935 1.7283 6.5398
0.0000 -3.4566 6.5398
K Na Br O
2 1 2 6
Direct
0.1987 0.1987 0.1987
0.8013 0.8013 0.8013
0.0000 0.0000 0.0000
0.3946 0.3946 0.3946
0.6054 0.6054 0.6054
0.2522 0.7457 0.7457
0.2543 0.2543 0.7478
0.2543 0.7478 0.2543
0.7457 0.2522 0.7457
0.7457 0.7457 0.2522
0.7478 0.2543 0.2543
```


Here is a geometry-optimized KNa2PBr structure from the Alexandria database. Energies are from GGA-PBE.

Values from the calculation:
Magnetic moment   1.1 Bohr magnetons per cell
VASP energy   -1.866 eV per atom

Geometry as POSCAR:
```
KNa2PBr
1.0
6.4137 0.0000 0.0000
0.0000 6.4137 0.0000
0.0000 0.0000 5.5054
K Na P Br
1 2 1 1
Direct
0.0000 0.0000 0.0000
0.0000 0.5000 0.0000
0.5000 0.0000 0.0000
0.5000 0.5000 0.5000
0.0000 0.0000 0.5000
```


Here is a geometry-optimized KNaPaBr6 structure from the Alexandria database. Energies are from GGA-PBE.

Values from the calculation:
Magnetic moment   2.0 Bohr magnetons per cell
VASP energy   -4.022 eV per atom

Geometry as POSCAR:
```
KNaPaBr6
1.0
7.5703 0.0000 0.0000
-3.7851 6.5560 0.0000
0.0000 0.0000 14.3867
K Na Pa Br
2 2 2 12
Direct
0.0000 0.0000 0.0000
0.0000 0.0000 0.5000
0.3333 0.6667 0.2500
0.6667 0.3333 0.7500
0.3333 0.6667 0.7500
0.6667 0.3333 0.2500
0.0202 0.3723 0.6369
0.0202 0.6479 0.8631
0.3521 0.3723 0.8631
0.3521 0.9798 0.6369
0.3723 0.0202 0.1369
0.3723 0.3521 0.3631
0.6277 0.6479 0.6369
0.6277 0.9798 0.8631
0.6479 0.0202 0.3631
0.6479 0.6277 0.1369
0.9798 0.3521 0.1369
0.9798 0.6277 0.3631
```


Here is a geometry-optimized KNaPbBr2 structure from the Alexandria database. Energies are from GGA-PBE.

Values from the calculation:
Magnetic moment   0.0 Bohr magnetons per cell
VASP energy   -2.164 eV per atom

Geometry as POSCAR:
```
KNaPbBr2
1.0
6.5041 0.0000 0.0000
0.0000 6.5041 0.0000
0.0000 0.0000 8.7142
K Na Pb Br
1 1 1 2
Direct
0.0000 0.0000 0.0000
0.5000 0.5000 0.0000
0.0000 0.0000 0.5000
0.0000 0.5000 0.5000
0.5000 0.0000 0.5000
```


Here is a geometry-optimized KNaPbBr4 structure from the Alexandria database. Energies are from GGA-PBE.

Values from the calculation:
Magnetic moment   0.0 Bohr magnetons per cell
VASP energy   -3.113 eV per atom

Geometry as POSCAR:
```
KNaPbBr4
1.0
8.1068 0.0000 0.0000
0.0000 8.1632 0.0000
-2.2332 0.0000 8.5150
K Na Pb Br
2 2 2 8
Direct
0.1858 0.2500 0.0407
0.8142 0.7500 0.9593
0.2936 0.7500 0.3357
0.7064 0.2500 0.6643
0.1839 0.2500 0.5389
0.8161 0.7500 0.4611
0.0222 0.5091 0.2756
0.0222 0.9909 0.2756
0.4538 0.2500 0.8299
0.4570 0.2500 0.3787
0.5430 0.7500 0.6213
0.5462 0.7500 0.1701
0.9778 0.0091 0.7244
0.9778 0.4909 0.7244
```


Here is a geometry-optimized KNaPb2Br6 structure from the Alexandria database. Energies are from GGA-PBE.

Values from the calculation:
Magnetic moment   0.0 Bohr magnetons per cell
VASP energy   -3.197 eV per atom

Geometry as POSCAR:
```
KNaPb2Br6
1.0
3.9284 2.2681 6.9405
-3.9284 2.2681 6.9405
0.0000 -4.5361 6.9405
K Na Pb Br
1 1 2 6
Direct
0.0000 0.0000 0.0000
0.5101 0.5101 0.5101
0.2031 0.2031 0.2031
0.7088 0.7088 0.7088
0.1082 0.4271 0.8038
0.3396 0.9159 0.5740
0.4271 0.8038 0.1082
0.5740 0.3396 0.9159
0.8038 0.1082 0.4271
0.9159 0.5740 0.3396
```


Here is a geometry-optimized K3Na3PbBr8 structure from the Alexandria database. Energies are from GGA-PBE.

Values from the calculation:
Magnetic moment   0.0 Bohr magnetons per cell
VASP energy   -3.130 eV per atom

Geometry as POSCAR:
```
K3Na3PbBr8
1.0
4.4380 2.5623 7.5962
-4.4380 2.5623 7.5962
0.0000 -5.1246 7.5962
K Na Pb Br
3 3 1 8
Direct
0.0000 0.5000 0.5000
0.5000 0.0000 0.5000
0.5000 0.5000 0.0000
0.0000 0.0000 0.5000
0.0000 0.5000 0.0000
0.5000 0.0000 0.0000
0.5000 0.5000 0.5000
0.2413 0.2413 0.2413
0.2417 0.7400 0.7400
0.2600 0.2600 0.7583
0.2600 0.7583 0.2600
0.7400 0.2417 0.7400
0.7400 0.7400 0.2417
0.7583 0.2600 0.2600
0.7587 0.7587 0.7587
```


Here is a geometry-optimized K2NaPdBr6 structure from the Alexandria database. Energies are from GGA-PBE.

Values from the calculation:
Magnetic moment   0.0 Bohr magnetons per cell
VASP energy   -2.945 eV per atom

Geometry as POSCAR:
```
K2NaPdBr6
1.0
3.6946 2.1331 14.0750
-3.6946 2.1331 14.0750
0.0000 -4.2662 14.0750
K Na Pd Br
4 2 2 12
Direct
0.1365 0.1365 0.1365
0.3068 0.3068 0.3068
0.6932 0.6932 0.6932
0.8635 0.8635 0.8635
0.4172 0.4172 0.4172
0.5828 0.5828 0.5828
0.0000 0.0000 0.0000
0.5000 0.5000 0.5000
0.1331 0.6307 0.6307
0.1998 0.1998 0.7072
0.1998 0.7072 0.1998
0.2928 0.8002 0.8002
0.3693 0.3693 0.8669
0.3693 0.8669 0.3693
0.6307 0.1331 0.6307
0.6307 0.6307 0.1331
0.7072 0.1998 0.1998
0.8002 0.2928 0.8002
0.8002 0.8002 0.2928
0.8669 0.3693 0.3693
```


Here is a geometry-optimized KNaPm2Br8 structure from the Alexandria database. Energies are from GGA-PBE.

Values from the calculation:
Magnetic moment   0.0 Bohr magnetons per cell
VASP energy   -3.892 eV per atom

Geometry as POSCAR:
```
KNaPm2Br8
1.0
7.1328 0.0000 0.0000
0.0000 8.9123 0.0000
-0.5726 0.0000 7.3187
K Na Pm Br
1 1 2 8
Direct
0.0000 0.0000 0.0000
0.0000 0.5000 0.0000
0.5000 0.2539 0.5000
0.5000 0.7461 0.5000
0.2383 0.2685 0.1905
0.2383 0.7315 0.1905
0.2929 0.5000 0.6599
0.2976 0.0000 0.6512
0.7024 0.0000 0.3488
0.7071 0.5000 0.3401
0.7617 0.2685 0.8095
0.7617 0.7315 0.8095
```


Here is a geometry-optimized KNa2PmBr6 structure from the Alexandria database. Energies are from GGA-PBE.

Values from the calculation:
Magnetic moment   0.0 Bohr magnetons per cell
VASP energy   -3.582 eV per atom

Geometry as POSCAR:
```
KNa2PmBr6
1.0
3.8274 2.2098 6.9633
-3.8274 2.2098 6.9633
0.0000 -4.4195 6.9633
K Na Pm Br
1 2 1 6
Direct
0.0000 0.0000 0.0000
0.2902 0.2902 0.2902
0.8018 0.8018 0.8018
0.4851 0.4851 0.4851
0.0864 0.6608 0.4374
0.2219 0.5686 0.8740
0.4374 0.0864 0.6608
0.5686 0.8740 0.2219
0.6608 0.4374 0.0864
0.8740 0.2219 0.5686
```


> Which value of VASP energy does entry 4 give?

-1.866 eV per atom


> Which value of VASP energy does entry 1 give?

-3.818 eV per atom


Copy entry 5 word for word.
Here is a geometry-optimized KNaPaBr6 structure from the Alexandria database. Energies are from GGA-PBE.

Values from the calculation:
Magnetic moment   2.0 Bohr magnetons per cell
VASP energy   -4.022 eV per atom

Geometry as POSCAR:
```
KNaPaBr6
1.0
7.5703 0.0000 0.0000
-3.7851 6.5560 0.0000
0.0000 0.0000 14.3867
K Na Pa Br
2 2 2 12
Direct
0.0000 0.0000 0.0000
0.0000 0.0000 0.5000
0.3333 0.6667 0.2500
0.6667 0.3333 0.7500
0.3333 0.6667 0.7500
0.6667 0.3333 0.2500
0.0202 0.3723 0.6369
0.0202 0.6479 0.8631
0.3521 0.3723 0.8631
0.3521 0.9798 0.6369
0.3723 0.0202 0.1369
0.3723 0.3521 0.3631
0.6277 0.6479 0.6369
0.6277 0.9798 0.8631
0.6479 0.0202 0.3631
0.6479 0.6277 0.1369
0.9798 0.3521 0.1369
0.9798 0.6277 0.3631
```


> The highest VASP energy belongs to which entry?

KNa2PBr